[1]
A relaxed Ca2Ni4GeP3 crystal. Source: Alexandria, functional PBE.

symmetry = P-4m2
ΔE_f = -0.746 eV per atom

Cell: 3.972 3.972 9.505 Å, 90.00 90.00 90.00°
Element x y z (fractional)
Ca (0.500, 0.000, 0.245)
Ca (0.000, 0.500, 0.755)
Ni (0.500, 0.500, 0.000)
Ni (0.000, 0.000, 0.000)
Ni (0.500, 0.000, 0.633)
Ni (0.000, 0.500, 0.367)
Ge (0.500, 0.500, 0.500)
P (0.000, 0.000, 0.500)
P (0.500, 0.000, 0.872)
P (0.000, 0.500, 0.128)

[2]
A relaxed Pr3PS6 crystal. Source: Alexandria, functional PBE.

energy relative to the elements, uncorrected = -1.536 eV/atom
symmetry = Cmc2_1

Cell: 7.279 8.660 8.660 Å, 101.83 90.00 90.00°
Element x y z (fractional)
Pr (0.474, 0.914, 0.711)
Pr (0.974, 0.711, 0.914)
Pr (0.411, 0.398, 0.602)
Pr (0.911, 0.602, 0.398)
Pr (0.974, 0.086, 0.289)
Pr (0.474, 0.289, 0.086)
P (0.062, 0.184, 0.816)
P (0.562, 0.816, 0.184)
S (0.192, 0.682, 0.642)
S (0.692, 0.642, 0.682)
S (0.186, 0.411, 0.900)
S (0.686, 0.900, 0.411)
S (0.196, 0.036, 0.964)
S (0.613, 0.218, 0.782)
S (0.113, 0.782, 0.218)
S (0.696, 0.964, 0.036)
S (0.186, 0.100, 0.589)
S (0.686, 0.589, 0.100)
S (0.192, 0.358, 0.318)
S (0.692, 0.318, 0.358)

[3]
A relaxed Tl2P2PdO6 crystal. Source: Alexandria, functional PBE.

energy relative to the elements, uncorrected = -1.329 eV/atom
symmetry = R-3m

Cell: 5.844 5.844 6.623 Å, 63.82 63.82 60.00°
Site moments in Bohr magnetons follow the coordinates.
Element x y z (fractional)
Tl (0.777, 0.777, 0.669)  0.00
Tl (0.223, 0.223, 0.331)  0.00
P (0.434, 0.434, 0.699)  0.03
P (0.566, 0.566, 0.301)  0.03
Pd (0.000, 0.000, 0.000)  1.27
O (0.736, 0.736, 0.236)  0.06
O (0.292, 0.736, 0.236)  0.06
O (0.736, 0.292, 0.236)  0.06
O (0.264, 0.708, 0.764)  0.06
O (0.708, 0.264, 0.764)  0.06
O (0.264, 0.264, 0.764)  0.06

[4]
A relaxed CaAc5Se6 crystal. Source: Alexandria, functional PBE.

energy relative to the elements, uncorrected = -1.874 eV/atom
symmetry = C2/m

Cell: 7.663 7.671 7.687 Å, 60.07 80.37 70.40°
Element x y z (fractional)
Ca (0.000, 0.000, 0.000)
Ac (0.500, 0.171, 0.659)
Ac (0.000, 0.334, 0.332)
Ac (0.500, 0.500, 0.000)
Ac (0.000, 0.666, 0.668)
Ac (0.500, 0.829, 0.341)
Se (0.759, 0.080, 0.321)
Se (0.241, 0.600, 0.321)
Se (0.245, 0.238, 0.000)
Se (0.755, 0.762, 0.000)
Se (0.759, 0.400, 0.679)
Se (0.241, 0.920, 0.679)

[5]
A relaxed ZrAsCl2 crystal. Source: Alexandria, functional PBE.

energy relative to the elements, uncorrected = -0.376 eV/atom
symmetry = I-4m2
energy above the lowest structure with this stoichiometry = 690 meV per atom

Cell: 5.181 5.181 5.181 Å, 130.76 130.76 72.20°
Element x y z (fractional)
As (0.750, 0.250, 0.500)
Zr (0.500, 0.500, 0.000)
Cl (0.000, 0.000, 0.000)
Cl (0.250, 0.750, 0.500)

[6]
A relaxed FeNi2Ir crystal. Source: Alexandria, functional PBE.

symmetry = I4/mmm
ΔE_f = -0.033 eV per atom

Cell: 4.516 4.516 4.516 Å, 132.65 132.65 69.21°
Site moments in Bohr magnetons follow the coordinates.
Element x y z (fractional)
Ni (0.000, 0.000, 0.000)  0.73
Ni (0.500, 0.500, 0.000)  0.73
Ir (0.750, 0.250, 0.500)  0.63
Fe (0.250, 0.750, 0.500)  2.84